The following is a PBE calculation of YMoS2N after structural relaxation, from Alexandria via LeMat-Bulk.

a b c (Å): 5.2153 5.2153 4.3247
angles (deg): 90.00 90.00 90.00
Closest atoms and distances in Å follow each position.
Sites, in units of the cell vectors:
Y  0.0000  0.0000  0.0000  2 N 2.16
Mo  0.5000  0.5000  0.5000  8 S 3.39, 4 N 3.69
S  0.0000  0.5000  0.0000  2 Y 2.61
S  0.5000  0.0000  0.0000  2 Y 2.61
N  0.0000  0.0000  0.5000  2 Y 2.16

Values from the calculation:
total DFT energy (no corrections): -6.14 eV/atom
Fermi-level density of states: 2.212 states/eV per cell
space-group type: P4/mmm
polymorph energy (0 for the lowest one): 1.3513 eV/atom
formation energy (no corrections): 0.6326 eV/atom

=====

The following is a PBE calculation of NaAcCdPt after structural relaxation, from Alexandria via LeMat-Bulk.

a b c (Å): 5.3067 5.3067 5.3067
angles (deg): 60.00 60.00 60.00
Closest atoms and distances in Å follow each position.
Sites, in units of the cell vectors:
Na  0.2500  0.2500  0.2500  4 Cd 3.25, 4 Pt 3.25
Ac  0.7500  0.7500  0.7500  4 Cd 3.25, 4 Pt 3.25
Pt  0.0000  0.0000  0.0000  4 Na 3.25, 4 Ac 3.25
Cd  0.5000  0.5000  0.5000  4 Ac 3.25, 4 Na 3.25

Values from the calculation:
total DFT energy (no corrections): -3.46 eV/atom
Fermi-level density of states: 2.913 states/eV per cell
space-group type: F-43m

=====

The following is a PBE calculation of CaAcSiPd after structural relaxation, from Alexandria via LeMat-Bulk.

a b c (Å): 4.2813 4.2813 8.0870
angles (deg): 90.12 105.24 119.97
Closest atoms and distances in Å follow each position.
Sites, in units of the cell vectors:
Ca  0.3404  0.0357  0.3761  3 Pd 3.06, 3 Si 3.17
Ac  0.9966  0.8619  0.8585  3 Si 3.18, 3 Pd 3.30
Si  0.8364  0.2828  0.1192  3 Pd 2.48
Pd  0.5187  0.6241  0.1427  3 Si 2.48

Values from the calculation:
total DFT energy (no corrections): -4.79 eV/atom
Fermi-level density of states: 4.079 states/eV per cell
space-group type: Cm
polymorph energy (0 for the lowest one): 0.0000 eV/atom
formation energy (no corrections): -0.6109 eV/atom

=====

The following is a PBE calculation of HfMnAs2Pd after structural relaxation, from Alexandria via LeMat-Bulk.

a b c (Å): 4.5289 4.7217 4.5289
angles (deg): 90.00 90.00 90.00
Closest atoms and distances in Å follow each position.
Sites, in units of the cell vectors:
As  0.0000  0.0000  0.5000  2 Mn 2.26
As  0.5000  0.0000  0.0000  2 Mn 2.26
Mn  0.0000  0.0000  0.0000  4 As 2.26, 2 Pd 2.36
Hf  0.5000  0.5000  0.5000  4 Pd 3.20, 8 As 3.27
Pd  0.0000  0.5000  0.0000  2 Mn 2.36

Values from the calculation:
total DFT energy (no corrections): -6.45 eV/atom
Fermi-level density of states: 2.992 states/eV per cell
space-group type: P4/mmm

=====

The following is a PBE calculation of TaCd2Si after structural relaxation, from Alexandria via LeMat-Bulk.

a b c (Å): 5.6857 5.6857 5.6857
angles (deg): 140.57 140.57 57.00
Closest atoms and distances in Å follow each position.
Sites, in units of the cell vectors:
Cd  0.0000  0.0000  0.0000  4 Cd 2.71
Cd  0.5000  0.5000  0.0000  4 Cd 2.71
Si  0.2500  0.7500  0.5000  4 Ta 2.71
Ta  0.7500  0.2500  0.5000  4 Si 2.71

Values from the calculation:
total DFT energy (no corrections): -4.57 eV/atom
Fermi-level density of states: 1.331 states/eV per cell
space-group type: I4/mmm
formation energy (no corrections): 0.2098 eV/atom

=====

The following is a PBE calculation of TcAg3Br after structural relaxation, from Alexandria via LeMat-Bulk.

a b c (Å): 5.2521 5.2521 5.2521
angles (deg): 90.00 90.00 90.00
Closest atoms and distances in Å follow each position.
Sites, in units of the cell vectors:
Br  0.5000  0.5000  0.5000  12 Ag 3.71
Tc  0.0000  0.0000  0.0000  6 Ag 2.63
Ag  0.0000  0.5000  0.0000  2 Tc 2.63
Ag  0.0000  0.0000  0.5000  2 Tc 2.63
Ag  0.5000  0.0000  0.0000  2 Tc 2.63

Values from the calculation:
total DFT energy (no corrections): -2.85 eV/atom
Fermi-level density of states: 7.380 states/eV per cell
space-group type: Pm-3m
polymorph energy (0 for the lowest one): 0.0000 eV/atom
formation energy (no corrections): 1.2712 eV/atom

=====

The following is a PBE calculation of CrAs2Pt after structural relaxation, from Alexandria via LeMat-Bulk.

a b c (Å): 4.5605 4.5605 4.5605
angles (deg): 60.00 60.00 60.00
Closest atoms and distances in Å follow each position.
Sites, in units of the cell vectors:
As  0.0000  0.0000  0.0000  4 As 2.79, 4 Pt 2.79
As  0.2500  0.2500  0.2500  4 As 2.79, 4 Cr 2.79
Cr  0.5000  0.5000  0.5000  4 Pt 2.79, 4 As 2.79
Pt  0.7500  0.7500  0.7500  4 Cr 2.79, 4 As 2.79

Values from the calculation:
total DFT energy (no corrections): -5.98 eV/atom
Fermi-level density of states: 3.384 states/eV per cell
space-group type: F-43m
polymorph energy (0 for the lowest one): 0.3366 eV/atom

=====

The following is a PBE calculation of Dy8Pt2Rh after structural relaxation, from Alexandria via LeMat-Bulk.

a b c (Å): 5.9717 7.5846 7.5846
angles (deg): 112.86 100.54 100.54
Closest atoms and distances in Å follow each position.
Sites, in units of the cell vectors:
Dy  0.5836  0.3388  0.0824  2 Pt 2.81-2.83, 1 Rh 3.09
Dy  0.5836  0.0824  0.3388  2 Pt 2.81-2.83, 1 Rh 3.09
Dy  0.1681  0.3608  0.3608  1 Rh 2.94, 2 Pt 3.05
Dy  0.9891  0.2144  0.7889  1 Rh 2.84
Dy  0.9891  0.7889  0.2144  1 Rh 2.84
Dy  0.8107  0.6452  0.6452  1 Rh 3.01, 2 Pt 3.04
Dy  0.3772  0.9227  0.6669  2 Pt 2.83-2.85, 1 Rh 3.05
Dy  0.3772  0.6669  0.9227  2 Pt 2.83-2.85, 1 Rh 3.05
Pt  0.4893  0.6932  0.3162  6 Dy 2.81-3.05
Pt  0.4893  0.3162  0.6932  6 Dy 2.81-3.05
Rh  0.1425  0.0044  0.0044  8 Dy 2.84-3.09

Values from the calculation:
total DFT energy (no corrections): -5.68 eV/atom
Fermi-level density of states: 11.747 states/eV per cell
space-group type: Cm
polymorph energy (0 for the lowest one): 0.0885 eV/atom

=====

The following is a PBE calculation of Sr2Ga4Ir3 after structural relaxation, from Alexandria via LeMat-Bulk.

a b c (Å): 5.7044 5.7044 7.1135
angles (deg): 101.52 101.52 120.13
Closest atoms and distances in Å follow each position.
Sites, in units of the cell vectors:
Sr  0.6282  0.6282  0.2563  8 Ga 3.23-3.35, 6 Ir 3.30-3.31, 1 Sr 3.34
Sr  0.3718  0.3718  0.7437  8 Ga 3.23-3.35, 6 Ir 3.30-3.31, 1 Sr 3.34
Ga  0.0217  0.6716  0.6933  3 Ir 2.56-2.64
Ga  0.6716  0.0217  0.6933  3 Ir 2.56-2.64
Ga  0.9783  0.3284  0.3067  3 Ir 2.56-2.64
Ga  0.3284  0.9783  0.3067  3 Ir 2.56-2.64
Ir  0.5000  0.0000  0.0000  4 Ga 2.56, 4 Ir 2.85
Ir  0.0000  0.0000  0.0000  4 Ga 2.64, 4 Ir 2.85
Ir  0.0000  0.5000  0.0000  4 Ga 2.56, 4 Ir 2.85

Values from the calculation:
total DFT energy (no corrections): -5.09 eV/atom
Fermi-level density of states: 7.366 states/eV per cell
space-group type: Fmmm

=====

The following is a PBE calculation of YHfIrOs2 after structural relaxation, from Alexandria via LeMat-Bulk.

a b c (Å): 4.7886 4.8426 4.7886
angles (deg): 90.00 90.00 90.00
Closest atoms and distances in Å follow each position.
Sites, in units of the cell vectors:
Y  0.0000  0.0000  0.0000  4 Os 2.39, 2 Ir 2.42
Hf  0.5000  0.5000  0.5000  4 Ir 3.39, 8 Os 3.41
Ir  0.0000  0.5000  0.0000  2 Y 2.42
Os  0.0000  0.0000  0.5000  2 Y 2.39
Os  0.5000  0.0000  0.0000  2 Y 2.39

Values from the calculation:
total DFT energy (no corrections): -7.51 eV/atom
Fermi-level density of states: 5.998 states/eV per cell
space-group type: P4/mmm

=====

The following is a PBE calculation of TmMgCd4Ag2 after structural relaxation, from Alexandria via LeMat-Bulk.

a b c (Å): 4.1116 4.1116 11.2550
angles (deg): 90.00 90.00 90.00
Closest atoms and distances in Å follow each position.
Sites, in units of the cell vectors:
Tm  0.0000  0.0000  0.5000  8 Ag 3.20
Mg  0.0000  0.0000  0.0000  8 Cd 3.05
Cd  0.0000  0.5000  0.1999  2 Ag 2.89, 4 Cd 2.91, 2 Mg 3.05
Cd  0.5000  0.0000  0.8001  2 Ag 2.89, 4 Cd 2.91, 2 Mg 3.05
Cd  0.5000  0.0000  0.1999  2 Ag 2.89, 4 Cd 2.91, 2 Mg 3.05
Cd  0.0000  0.5000  0.8001  2 Ag 2.89, 4 Cd 2.91, 2 Mg 3.05
Ag  0.5000  0.5000  0.3808  1 Ag 2.68, 4 Cd 2.89
Ag  0.5000  0.5000  0.6192  1 Ag 2.68, 4 Cd 2.89

Values from the calculation:
total DFT energy (no corrections): -1.96 eV/atom
Fermi-level density of states: 5.318 states/eV per cell
space-group type: P4/mmm

=====

The following is a PBE calculation of TaReCl after structural relaxation, from Alexandria via LeMat-Bulk.

a b c (Å): 4.3744 4.3744 4.3744
angles (deg): 60.00 60.00 60.00
Closest atoms and distances in Å follow each position.
Sites, in units of the cell vectors:
Cl  0.0000  0.0000  0.0000  4 Ta 2.68
Re  0.5000  0.5000  0.5000  4 Ta 2.68
Ta  0.2500  0.2500  0.2500  4 Cl 2.68, 4 Re 2.68

Values from the calculation:
total DFT energy (no corrections): -7.55 eV/atom
Fermi-level density of states: 2.805 states/eV per cell
space-group type: F-43m
polymorph energy (0 for the lowest one): 0.9247 eV/atom
formation energy (no corrections): 1.1672 eV/atom

=====

The following is a PBE calculation of Zr2Zn3Hg after structural relaxation, from Alexandria via LeMat-Bulk.

a b c (Å): 5.4991 5.4991 8.4030
angles (deg): 102.60 102.60 109.47
Closest atoms and distances in Å follow each position.
Sites, in units of the cell vectors:
Zr  0.2500  0.7500  0.5000  4 Hg 3.04, 8 Zn 3.07-3.08, 2 Zr 3.17
Zr  0.7530  0.7530  0.0000  10 Zn 2.97-3.08, 2 Hg 3.05, 2 Zr 3.14-3.21
Zr  0.7500  0.2500  0.5000  4 Hg 3.04, 8 Zn 3.07-3.08, 2 Zr 3.17
Zr  0.2470  0.2470  0.0000  10 Zn 2.97-3.08, 2 Hg 3.05, 2 Zr 3.14-3.21
Zn  0.3244  0.8371  0.1615  2 Zn 2.51-2.53, 1 Hg 2.66
Zn  0.1629  0.6756  0.8385  2 Zn 2.51-2.53, 1 Hg 2.66
Zn  0.6756  0.1629  0.8385  2 Zn 2.51-2.53, 1 Hg 2.66
Zn  0.8371  0.3244  0.1615  2 Zn 2.51-2.53, 1 Hg 2.66
Zn  0.1619  0.1619  0.3238  2 Zn 2.53, 1 Hg 2.67
Zn  0.8381  0.8381  0.6762  2 Zn 2.53, 1 Hg 2.67
Hg  0.6664  0.6664  0.3328  3 Zn 2.66-2.67
Hg  0.3336  0.3336  0.6672  3 Zn 2.66-2.67

Values from the calculation:
total DFT energy (no corrections): -3.76 eV/atom
Fermi-level density of states: 10.462 states/eV per cell
space-group type: Fmmm
polymorph energy (0 for the lowest one): 0.0000 eV/atom

=====

The following is a PBE calculation of LiZnTcRu after structural relaxation, from Alexandria via LeMat-Bulk.

a b c (Å): 4.2366 4.2366 4.2366
angles (deg): 60.00 60.00 60.00
Closest atoms and distances in Å follow each position.
Sites, in units of the cell vectors:
Ru  0.7500  0.7500  0.7500  4 Tc 2.59, 4 Zn 2.59
Zn  0.5000  0.5000  0.5000  4 Li 2.59, 4 Ru 2.59
Tc  0.0000  0.0000  0.0000  4 Ru 2.59, 4 Li 2.59
Li  0.2500  0.2500  0.2500  4 Tc 2.59, 4 Zn 2.59

Values from the calculation:
total DFT energy (no corrections): -5.74 eV/atom
Fermi-level density of states: 0.973 states/eV per cell
space-group type: F-43m

=====

The following is a PBE calculation of Rb3C2 after structural relaxation, from Alexandria via LeMat-Bulk.

a b c (Å): 11.5282 11.5282 11.5282
angles (deg): 23.37 23.37 23.37
Closest atoms and distances in Å follow each position.
Sites, in units of the cell vectors:
Rb  0.0000  0.0000  0.0000  6 C 3.31
Rb  0.7655  0.7655  0.7655  3 C 3.04
Rb  0.2345  0.2345  0.2345  3 C 3.04
C  0.3904  0.3904  0.3904  6 Rb 3.04-3.31
C  0.6096  0.6096  0.6096  6 Rb 3.04-3.31

Values from the calculation:
total DFT energy (no corrections): -2.50 eV/atom
Fermi-level density of states: 2.139 states/eV per cell
space-group type: R-3m
polymorph energy (0 for the lowest one): 0.0000 eV/atom

=====

The following is a PBE calculation of La2MnRhN after structural relaxation, from Alexandria via LeMat-Bulk.

a b c (Å): 5.2092 5.2092 3.6923
angles (deg): 90.00 90.00 90.00
Closest atoms and distances in Å follow each position.
Sites, in units of the cell vectors:
N  0.0000  0.0000  0.0000  2 Mn 1.85
Mn  0.0000  0.0000  0.5000  2 N 1.85
Rh  0.5000  0.5000  0.5000  8 La 3.19
La  0.0000  0.5000  0.0000  2 N 2.60
La  0.5000  0.0000  0.0000  2 N 2.60

Values from the calculation:
total DFT energy (no corrections): -7.62 eV/atom
Fermi-level density of states: 2.802 states/eV per cell
space-group type: P4/mmm
formation energy (no corrections): -0.6760 eV/atom

=====

The following is a PBE calculation of Cs8AuI3Cl3 after structural relaxation, from Alexandria via LeMat-Bulk.

a b c (Å): 10.4918 10.4938 10.6147
angles (deg): 119.61 90.00 119.99
Closest atoms and distances in Å follow each position.
Sites, in units of the cell vectors:
Cs  0.2585  0.5169  0.2765  3 Cl 3.60-3.61, 3 I 3.87
Cs  0.7415  0.4831  0.7235  3 Cl 3.60-3.61, 3 I 3.87
Cs  0.7531  0.5063  0.2719  2 Cl 3.59, 1 Au 3.69, 2 I 3.88
Cs  0.2469  0.4937  0.7281  2 Cl 3.59, 1 Au 3.69, 2 I 3.88
Cs  0.7530  0.0189  0.2717  2 Cl 3.59, 1 Au 3.69, 2 I 3.88
Cs  0.2470  0.9811  0.7283  2 Cl 3.59, 1 Au 3.69, 2 I 3.88
Cs  0.2659  0.0189  0.2717  2 Cl 3.59, 1 Au 3.69, 2 I 3.88
Cs  0.7341  0.9811  0.7283  2 Cl 3.59, 1 Au 3.69, 2 I 3.88
Au  0.0000  0.0000  0.5000  6 Cs 3.69
I  0.0000  0.0000  0.0000  6 Cs 3.87-3.88
I  0.0000  0.5000  0.0000  6 Cs 3.87-3.88
I  0.5000  0.5000  0.0000  6 Cs 3.87-3.88
Cl  0.5000  0.0000  0.5000  6 Cs 3.59-3.61
Cl  0.5000  0.5000  0.5000  6 Cs 3.59-3.60
Cl  0.0000  0.5000  0.5000  6 Cs 3.59-3.60

Values from the calculation:
total DFT energy (no corrections): -2.78 eV/atom
Fermi-level density of states: 2.248 states/eV per cell
space-group type: C2/m
formation energy (no corrections): -1.4298 eV/atom

=====

The following is a PBE calculation of Ce2YBiC after structural relaxation, from Alexandria via LeMat-Bulk.

a b c (Å): 4.9698 4.9873 4.9873
angles (deg): 90.00 90.00 90.00
Closest atoms and distances in Å follow each position.
Sites, in units of the cell vectors:
Ce  0.0000  0.0000  0.5000  2 C 2.49
Ce  0.0000  0.5000  0.0000  2 C 2.49
Y  0.5000  0.0000  0.0000  2 C 2.48
Bi  0.5000  0.5000  0.5000  8 Ce 3.52, 4 Y 3.53
C  0.0000  0.0000  0.0000  2 Y 2.48, 4 Ce 2.49

Values from the calculation:
total DFT energy (no corrections): -6.77 eV/atom
Fermi-level density of states: 9.120 states/eV per cell
space-group type: P4/mmm

=====

The following is a PBE calculation of ZnAgAu2 after structural relaxation, from Alexandria via LeMat-Bulk.

a b c (Å): 9.3307 9.3307 9.3307
angles (deg): 18.21 18.21 18.21
Closest atoms and distances in Å follow each position.
Sites, in units of the cell vectors:
Zn  0.5000  0.5000  0.5000  3 Au 2.74, 3 Ag 2.75, 6 Zn 2.95
Au  0.0008  0.0008  0.0008  3 Ag 2.95, 9 Au 2.95-3.00
Au  0.2444  0.2444  0.2444  3 Zn 2.74, 9 Au 2.95-3.00
Ag  0.7547  0.7547  0.7547  3 Zn 2.75, 3 Au 2.95, 6 Ag 2.95

Values from the calculation:
total DFT energy (no corrections): -2.72 eV/atom
Fermi-level density of states: 1.147 states/eV per cell
space-group type: R3m

=====

The following is a PBE calculation of NpFe2As2 after structural relaxation, from Alexandria via LeMat-Bulk.

a b c (Å): 3.6472 3.6472 6.4090
angles (deg): 90.00 90.00 90.00
Closest atoms and distances in Å follow each position.
Sites, in units of the cell vectors:
Np  0.0000  0.0000  0.0000  8 As 3.00
Fe  0.5000  0.0000  0.5000  4 As 2.48, 4 Fe 2.58
Fe  0.0000  0.5000  0.5000  4 As 2.48, 4 Fe 2.58
As  0.5000  0.5000  0.7623  4 Fe 2.48
As  0.5000  0.5000  0.2377  4 Fe 2.48

Values from the calculation:
total DFT energy (no corrections): -8.07 eV/atom
Fermi-level density of states: 8.824 states/eV per cell
space-group type: P4/mmm